The following is a DFT calculation (meta-GGA SCAN) of KCeS2 at its PBEsol-relaxed geometry.

Computed properties:
* raw total energy: -20.08 eV/atom

Lattice parameters (Å, degrees): 4.1328 4.1328 21.7571 90.00 90.00 120.00
Space group R-3m (No. 166, hexagonal axes)
Symmetry-distinct sites (fractional):
K1 0.0000 0.0000 0.0000 x3
Ce1 0.0000 0.0000 0.5000 x3
S1 0.0000 0.0000 0.2357 x6



The following is a DFT calculation (meta-GGA SCAN) of KCe5S8 at its PBEsol-relaxed geometry.

Computed properties:
* raw total energy: -24.23 eV/atom

Lattice parameters (Å, degrees): 8.473 8.473 8.426 90.00 90.00 90.00
Space group I-4 (No. 82)
Symmetry-distinct sites (fractional):
K1 0.000 0.000 0.000 x2
Ce1 0.000 0.500 0.250 x2
Ce2 0.129 0.250 0.631 x8
S1 0.079 0.179 0.310 x8
S2 0.079 0.338 0.952 x8



The following is a DFT calculation (meta-GGA SCAN) of KCeSe4 at its PBEsol-relaxed geometry.

Computed properties:
* raw total energy: -23.52 eV/atom

Lattice parameters (Å, degrees): 6.251 6.251 8.287 90.00 90.00 90.00
Space group P4/nbm (No. 125, origin choice 2)
Symmetry-distinct sites (fractional):
K1 0.250 0.250 0.000 x2
Ce1 0.250 0.250 0.500 x2
Se1 0.111 0.611 0.290 x8



The following is a DFT calculation (meta-GGA SCAN) of La3Ce at its PBEsol-relaxed geometry.

Computed properties:
* raw total energy: -43.40 eV/atom
* ΔE_f: 0.07 eV per atom

Lattice parameters (Å, degrees): 4.990 4.990 9.950 90.00 90.00 90.00
Space group I4/mmm (No. 139)
Symmetry-distinct sites (fractional):
La1 0.000 0.000 0.000 x2
La2 0.000 0.500 0.250 x4
Ce1 0.000 0.000 0.500 x2



The following is a DFT calculation (meta-GGA SCAN) of LaCe at its PBEsol-relaxed geometry.

Computed properties:
* raw total energy: -43.72 eV/atom
* ΔE_f: 0.11 eV per atom

Lattice parameters (Å, degrees): 3.4074 3.4074 16.7247 90.00 90.00 120.00
Space group R-3m (No. 166, hexagonal axes)
Symmetry-distinct sites (fractional):
La1 0.0000 0.0000 0.0000 x3
Ce1 0.0000 0.0000 0.5000 x3



The following is a DFT calculation (meta-GGA SCAN) of LaCeMn4Si4 at its PBEsol-relaxed geometry.

Computed properties:
* raw total energy: -20.70 eV/atom

Lattice parameters (Å, degrees): 3.927 3.927 10.370 90.00 90.00 90.00
Space group P4/mmm (No. 123)
Symmetry-distinct sites (fractional):
La1 0.000 0.000 0.000 x1
Ce1 0.500 0.500 0.500 x1
Mn1 0.000 0.500 0.256 x4
Si1 0.000 0.000 0.380 x2
Si2 0.500 0.500 0.130 x2



The following is a DFT calculation (meta-GGA SCAN) of LaCeMo12S16 at its PBEsol-relaxed geometry.

Computed properties:
* raw total energy: -23.07 eV/atom

Lattice parameters (Å, degrees): 6.425 6.425 12.853 88.52 88.51 88.55
Space group P-1 (No. 2)
Symmetry-distinct sites (fractional):
La1 0.000 0.000 0.000 x1
Ce1 0.000 0.000 0.500 x1
Mo1 0.220 0.565 0.708 x2
Mo2 0.225 0.562 0.211 x2
Mo3 0.417 0.224 0.780 x2
Mo4 0.422 0.221 0.283 x2
Mo5 0.435 0.581 0.887 x2
Mo6 0.438 0.579 0.390 x2
S1 0.124 0.377 0.874 x2
S2 0.128 0.372 0.379 x2
S3 0.240 0.243 0.620 x2
S4 0.245 0.242 0.123 x2
S5 0.247 0.872 0.314 x2
S6 0.247 0.875 0.811 x2
S7 0.372 0.756 0.562 x2
S8 0.378 0.751 0.064 x2



The following is a DFT calculation (meta-GGA SCAN) of Na2LaCeTi4O12 at its PBEsol-relaxed geometry.

Computed properties:
* raw total energy: -15.06 eV/atom

Lattice parameters (Å, degrees): 9.370 5.441 9.422 90.00 109.59 90.00
Space group C2 (No. 5)
Symmetry-distinct sites (fractional):
Na1 0.249 0.000 0.252 x4
La1 0.000 0.001 0.500 x2
Ce1 0.000 0.498 0.000 x2
Ti1 0.126 0.502 0.374 x4
Ti2 0.127 0.998 0.877 x4
O1 0.000 0.442 0.500 x2
O2 0.000 0.783 0.281 x4
O3 0.000 0.922 0.000 x2
O4 0.001 0.284 0.213 x4
O5 0.248 0.219 0.031 x4
O6 0.248 0.221 0.471 x4
O7 0.250 0.060 0.752 x4



The following is a DFT calculation (meta-GGA SCAN) of LaCeNi10 at its PBEsol-relaxed geometry.

Computed properties:
* raw total energy: -21.06 eV/atom
* ΔE_f: -0.28 eV per atom

Lattice parameters (Å, degrees): 3.928 4.851 8.407 90.00 90.00 90.00
Space group Pmmm (No. 47)
Symmetry-distinct sites (fractional):
La1 0.000 0.000 0.000 x1
Ce1 0.000 0.500 0.500 x1
Ni1 0.000 0.000 0.339 x2
Ni2 0.000 0.500 0.175 x2
Ni3 0.500 0.000 0.500 x1
Ni4 0.500 0.252 0.254 x4
Ni5 0.500 0.500 0.000 x1



The following is a DFT calculation (meta-GGA SCAN) of La2Ce2O7 at its PBEsol-relaxed geometry.

Computed properties:
* raw total energy: -23.65 eV/atom

Lattice parameters (Å, degrees): 11.086 11.086 11.086 90.00 90.00 90.00
Space group Fd-3m (No. 227, origin choice 2)
Symmetry-distinct sites (fractional):
La1 0.000 0.000 0.000 x16
Ce1 0.000 0.000 0.500 x16
O1 0.096 0.375 0.875 x48
O2 0.125 0.125 0.125 x8



The following is a DFT calculation (meta-GGA SCAN) of LaCeOs4 at its PBEsol-relaxed geometry.

Computed properties:
* raw total energy: -62.75 eV/atom
* ΔE_f: -0.22 eV per atom

Lattice parameters (Å, degrees): 7.599 7.599 7.599 90.00 90.00 90.00
Space group F-43m (No. 216)
Symmetry-distinct sites (fractional):
La1 0.000 0.000 0.000 x4
Ce1 0.250 0.250 0.250 x4
Os1 0.125 0.125 0.625 x16



The following is a DFT calculation (meta-GGA SCAN) of LaCePd6 at its PBEsol-relaxed geometry.

Computed properties:
* raw total energy: -36.39 eV/atom
* ΔE_f: -0.85 eV per atom

Lattice parameters (Å, degrees): 4.109 4.109 8.222 90.00 90.00 90.00
Space group P4/mmm (No. 123)
Symmetry-distinct sites (fractional):
La1 0.000 0.000 0.000 x1
Ce1 0.000 0.000 0.500 x1
Pd1 0.000 0.500 0.258 x4
Pd2 0.500 0.500 0.000 x1
Pd3 0.500 0.500 0.500 x1